# 1
Material: ErLuPuTh
Method: DFT, PBE-GGA
State: relaxed

Summary:
Energy relative to the elements (eV/atom): 0.191

abc: 7.8080 7.8080 7.8080
angles: 90.00 90.00 90.00
Closest atoms and distances in Å follow each position.
Space group F-43m (No. 216)
One atom of each set of equivalent atoms:
Er (0.0000, 0.0000, 0.0000)  4 Pu 3.38, 4 Lu 3.38
Lu (0.2500, 0.2500, 0.2500)  4 Th 3.38, 4 Er 3.38
Pu (0.2500, 0.2500, 0.7500)  4 Er 3.38, 4 Th 3.38
Th (0.0000, 0.0000, 0.5000)  4 Pu 3.38, 4 Lu 3.38

---

# 2
Material: TbMgScCo
Method: DFT, PBE-GGA
State: relaxed

Summary:
Offset from the most stable computed form (eV/atom): 0.0000
Energy relative to the elements (eV/atom): -0.164

abc: 3.2905 3.2905 7.9022
angles: 90.00 90.00 90.00
Closest atoms and distances in Å follow each position.
Space group P4mm (No. 99)
One atom of each set of equivalent atoms:
Tb (0.0000, 0.0000, 0.0000)  4 Co 2.92, 1 Sc 3.15
Mg (0.5000, 0.5000, 0.3191)  4 Sc 3.22, 4 Mg 3.29, 4 Tb 3.43
Sc (0.0000, 0.0000, 0.6014)  4 Co 2.71
Co (0.5000, 0.5000, 0.7774)  4 Sc 2.71, 4 Tb 2.92

---

# 3
Material: Na8GaO6
Method: DFT, PBE-GGA
State: relaxed

Summary:
Formation energy without anion corrections (eV/f.u.): -18.982

abc: 6.6832 6.9811 9.5929
angles: 90.00 90.00 90.00
Closest atoms and distances in Å follow each position.
Space group Pmn2_1 (No. 31)
One atom of each set of equivalent atoms:
Na (0.0000, 0.1851, 0.0000)  3 O 2.32-2.40
Na (0.0000, 0.1877, 0.4648)  3 O 2.20-2.37
Na (0.2023, 0.5819, 0.7959)  4 O 2.29-2.54
Na (0.2025, 0.6796, 0.1175)  3 O 2.30-2.32
Na (0.2195, 0.9666, 0.7725)  4 O 2.27-2.50
Ga (0.0000, 0.7123, 0.4757)  4 O 1.89-1.90
O (0.0000, 0.2469, 0.2374)  6 Na 2.22-2.42
O (0.0000, 0.4846, 0.5834)  1 Ga 1.90
O (0.0000, 0.7880, 0.9389)  6 Na 2.31-2.50
O (0.0000, 0.9284, 0.5941)  1 Ga 1.89
O (0.2222, 0.7285, 0.3539)  1 Ga 1.89

---

# 4
Material: TiGeSe2
Method: DFT, PBE-GGA
State: relaxed

Summary:
Formation energy without anion corrections (eV/f.u.): 0.113

abc: 3.8139 3.8139 23.9664
angles: 90.00 90.00 120.00
Closest atoms and distances in Å follow each position.
Space group R-3m (No. 166, hexagonal axes)
One atom of each set of equivalent atoms:
Ti (0.0000, 0.0000, 0.0000)  2 Se 2.42
Ge (0.0000, 0.0000, 0.5000)  6 Se 2.71
Se (0.0000, 0.0000, 0.1008)  1 Ti 2.42

---

# 5
Material: Ga3Rh
Method: DFT, PBE-GGA
State: relaxed

Summary:
Offset from the most stable computed form (eV/atom): 0.0284
Energy relative to the elements (eV/atom): -0.427

abc: 6.5515 6.5515 6.6481
angles: 90.00 90.00 90.00
Closest atoms and distances in Å follow each position.
Space group P4_2/mnm (No. 136)
One atom of each set of equivalent atoms:
Ga (0.0000, 0.5000, 0.0000)  2 Rh 2.47
Ga (0.1449, 0.1449, 0.2496)  3 Rh 2.46-2.59, 1 Ga 2.69
Rh (0.1589, 0.8411, 0.0000)  8 Ga 2.46-2.59

---

# 6
Material: InGaSb2
Method: DFT, PBE-GGA
State: relaxed

Summary:
Formation energy without anion corrections (eV/f.u.): 0.260
Offset from the most stable computed form (eV/atom): 0.2028

abc: 4.3040 4.3040 20.4322
angles: 90.00 90.00 120.00
Closest atoms and distances in Å follow each position.
Space group R3m (No. 160, hexagonal axes)
One atom of each set of equivalent atoms:
In (0.0000, 0.0000, 0.0000)  6 Sb 3.09-3.10, 1 Ga 3.46
Ga (0.0000, 0.0000, 0.1694)  6 Sb 2.91-2.96
Sb (0.0000, 0.0000, 0.5766)  3 Ga 2.91, 3 In 3.09
Sb (0.0000, 0.0000, 0.7576)  3 Ga 2.96, 3 In 3.10

---

# 7
Material: Rb3CeSn2Se6
Method: DFT, PBE-GGA
State: relaxed

Summary:
Formation energy without anion corrections (eV/f.u.): -12.737

abc: 7.5351 13.0447 8.3132
angles: 90.00 107.52 90.00
Closest atoms and distances in Å follow each position.
Space group C2/m (No. 12)
One atom of each set of equivalent atoms:
Rb (0.0000, 0.0000, 0.0000)  6 Se 3.47-3.52
Rb (0.0000, 0.3294, 0.0000)  6 Se 3.47-3.50
Ce (0.0000, 0.5000, 0.5000)  6 Se 2.90
Sn (0.0000, 0.1661, 0.5000)  6 Se 2.97-2.98
Se (0.2274, 0.3373, 0.6947)  1 Ce 2.90, 2 Sn 2.97-2.98
Se (0.2402, 0.0000, 0.6959)  1 Ce 2.90, 2 Sn 2.97

---

# 8
Material: NdEr2UP4
Method: DFT, PBE-GGA
State: relaxed

Summary:
Energy relative to the elements (eV/atom): -1.417

abc: 6.9224 3.9961 6.9502
angles: 90.00 109.24 90.00
Closest atoms and distances in Å follow each position.
Space group P2/m (No. 10)
One atom of each set of equivalent atoms:
Nd (0.0000, 0.0000, 0.0000)  6 P 2.88
Er (0.5000, 0.0000, 0.5000)  6 P 2.78-2.79
Er (0.5000, 0.5000, 0.0000)  6 P 2.85-2.87
U (0.0000, 0.5000, 0.5000)  6 P 2.78-2.81
P (0.2511, 0.0000, 0.7425)  3 Er 2.78-2.85, 2 U 2.81, 1 Nd 2.88
P (0.2546, 0.5000, 0.2624)  1 U 2.78, 3 Er 2.79-2.87, 2 Nd 2.88

---

# 9
Material: Rb3GaHg3
Method: DFT, PBE-GGA
State: relaxed

Summary:
Energy relative to the elements (eV/atom): -0.182

abc: 13.4595 5.0792 17.6729
angles: 90.00 109.66 90.00
Closest atoms and distances in Å follow each position.
Space group C2/m (No. 12)
One atom of each set of equivalent atoms:
Rb (0.0145, 0.0000, 0.3914)  7 Hg 3.78-4.08, 4 Ga 3.84-4.05, 1 Rb 3.99
Rb (0.1098, 0.0000, 0.9209)  7 Hg 3.74-3.99
Rb (0.2488, 0.5000, 0.7641)  6 Hg 3.71-3.99, 2 Ga 3.95
Ga (0.2344, 0.5000, 0.4025)  4 Hg 2.81-3.04
Hg (0.0514, 0.5000, 0.2447)  1 Ga 3.04, 1 Hg 3.14
Hg (0.0949, 0.5000, 0.0812)  2 Hg 3.13-3.14
Hg (0.1787, 0.5000, 0.5424)  3 Ga 2.81-2.83

---

What did the fourth record say?
Material: TiGeSe2
Method: DFT, PBE-GGA
State: relaxed

Summary:
Formation energy without anion corrections (eV/f.u.): 0.113

abc: 3.8139 3.8139 23.9664
angles: 90.00 90.00 120.00
Closest atoms and distances in Å follow each position.
Space group R-3m (No. 166, hexagonal axes)
One atom of each set of equivalent atoms:
Ti (0.0000, 0.0000, 0.0000)  2 Se 2.42
Ge (0.0000, 0.0000, 0.5000)  6 Se 2.71
Se (0.0000, 0.0000, 0.1008)  1 Ti 2.42